(1)
{
  "formula": "CaTmTlHg",
  "functional": "GGA-PBE",
  "state": "relaxed",
  "lattice_angstrom": [[7.5303, 0.0000, 0.0000], [0.0000, 7.5303, 0.0000], [0.0000, 0.0000, 7.5303]],
  "species": ["Ca", "Ca", "Ca", "Ca", "Tm", "Tm", "Tm", "Tm", "Tl", "Tl", "Tl", "Tl", "Hg", "Hg", "Hg", "Hg"],
  "fractional_positions": [[0.0000, 0.0000, 0.0000], [0.0000, 0.5000, 0.5000], [0.5000, 0.0000, 0.5000], [0.5000, 0.5000, 0.0000], [0.0000, 0.0000, 0.5000], [0.0000, 0.5000, 0.0000], [0.5000, 0.0000, 0.0000], [0.5000, 0.5000, 0.5000], [0.2500, 0.2500, 0.7500], [0.2500, 0.7500, 0.2500], [0.7500, 0.2500, 0.2500], [0.7500, 0.7500, 0.7500], [0.2500, 0.2500, 0.2500], [0.2500, 0.7500, 0.7500], [0.7500, 0.2500, 0.7500], [0.7500, 0.7500, 0.2500]],
  "formation_energy_mev_per_atom": -444,
  "space_group": "F-43m",
  "e_above_lowest_polymorph_mev_per_atom": 6
}



(2)
{
  "formula": "Sm3PuTl3Se8",
  "functional": "GGA-PBE",
  "state": "relaxed",
  "lattice_angstrom": [[4.2361, 2.4457, 7.7917], [-4.2361, 2.4457, 7.7917], [0.0000, -4.8915, 7.7917]],
  "species": ["Sm", "Sm", "Sm", "Pu", "Tl", "Tl", "Tl", "Se", "Se", "Se", "Se", "Se", "Se", "Se", "Se"],
  "fractional_positions": [[0.0000, 0.5000, 0.5000], [0.5000, 0.0000, 0.5000], [0.5000, 0.5000, 0.0000], [0.0000, 0.0000, 0.0000], [0.0000, 0.0000, 0.5000], [0.0000, 0.5000, 0.0000], [0.5000, 0.0000, 0.0000], [0.2294, 0.2294, 0.7441], [0.2294, 0.7441, 0.2294], [0.2559, 0.7706, 0.7706], [0.2636, 0.2636, 0.2636], [0.7364, 0.7364, 0.7364], [0.7441, 0.2294, 0.2294], [0.7706, 0.2559, 0.7706], [0.7706, 0.7706, 0.2559]],
  "space_group": "R-3m",
  "e_form_raw_ev_per_atom": -1.34
}



(3)
{
  "formula": "La5Sb2N2",
  "functional": "GGA-PBE",
  "state": "relaxed",
  "lattice_angstrom": [[6.6979, -2.6757, 0.0000], [6.6979, 2.6757, 0.0000], [-2.0043, 0.0000, 7.0902]],
  "species": ["La", "La", "La", "La", "La", "Sb", "Sb", "N", "N"],
  "fractional_positions": [[0.0000, 0.0000, 0.0000], [0.1512, 0.1512, 0.5750], [0.3334, 0.3334, 0.0934], [0.6666, 0.6666, 0.9066], [0.8488, 0.8488, 0.4250], [0.4070, 0.4070, 0.6954], [0.5930, 0.5930, 0.3046], [0.1633, 0.1633, 0.8890], [0.8367, 0.8367, 0.1110]],
  "space_group": "C2/m",
  "e_form_raw_ev_per_atom": -1.10
}



(4)
{
  "formula": "ScIrSe2",
  "functional": "GGA-PBE",
  "state": "relaxed",
  "lattice_angstrom": [[10.6587, 0.0000, 0.0000], [0.0000, 3.4589, 0.0000], [-0.1957, 0.0000, 4.4688]],
  "species": ["Sc", "Sc", "Ir", "Ir", "Se", "Se", "Se", "Se"],
  "fractional_positions": [[0.0000, 0.0000, 0.0000], [0.5000, 0.5000, 0.0000], [0.1938, 0.5000, 0.2024], [0.6938, 0.0000, 0.2024], [0.0017, 0.5000, 0.4828], [0.2658, 0.0000, 0.8707], [0.5017, 0.0000, 0.4828], [0.7658, 0.5000, 0.8707]],
  "space_group": "Cm",
  "e_above_lowest_polymorph_mev_per_atom": 259,
  "e_form_raw_ev_per_atom": -0.64
}



(5)
{
  "formula": "Na3Cd2Sn2Bi4",
  "functional": "GGA-PBE",
  "state": "relaxed",
  "lattice_angstrom": [[5.3057, 0.0000, 0.0000], [-2.6528, 4.5948, 0.0000], [0.0000, 0.0000, 14.0407]],
  "species": ["Na", "Na", "Na", "Cd", "Cd", "Sn", "Sn", "Bi", "Bi", "Bi", "Bi"],
  "fractional_positions": [[0.0000, 0.0000, 0.0000], [0.0000, 0.0000, 0.2530], [0.0000, 0.0000, 0.7470], [0.3333, 0.6667, 0.1195], [0.6667, 0.3333, 0.8805], [0.3333, 0.6667, 0.5866], [0.6667, 0.3333, 0.4134], [0.3333, 0.6667, 0.3657], [0.3333, 0.6667, 0.8895], [0.6667, 0.3333, 0.1105], [0.6667, 0.3333, 0.6343]],
  "formation_energy_mev_per_atom": -134,
  "space_group": "P-3m1"
}



(6)
{
  "formula": "SrHgPt",
  "functional": "GGA-PBE",
  "state": "relaxed",
  "lattice_angstrom": [[7.1841, 0.0000, 0.0000], [0.0000, 7.1841, 0.0000], [0.0000, 0.0000, 7.1841]],
  "species": ["Sr", "Sr", "Sr", "Sr", "Hg", "Hg", "Hg", "Hg", "Pt", "Pt", "Pt", "Pt"],
  "fractional_positions": [[0.0000, 0.0000, 0.0000], [0.0000, 0.5000, 0.5000], [0.5000, 0.0000, 0.5000], [0.5000, 0.5000, 0.0000], [0.2500, 0.2500, 0.7500], [0.2500, 0.7500, 0.2500], [0.7500, 0.2500, 0.2500], [0.7500, 0.7500, 0.7500], [0.2500, 0.2500, 0.2500], [0.2500, 0.7500, 0.7500], [0.7500, 0.2500, 0.7500], [0.7500, 0.7500, 0.2500]],
  "formation_energy_mev_per_atom": -173,
  "space_group": "F-43m"
}



(7)
{
  "formula": "Ba2O2F",
  "functional": "GGA-PBE",
  "state": "relaxed",
  "lattice_angstrom": [[7.3621, 0.0000, 0.0000], [0.0000, 4.4161, 0.0000], [-0.7049, 0.0000, 6.6983]],
  "species": ["Ba", "Ba", "Ba", "Ba", "O", "O", "O", "O", "F", "F"],
  "fractional_positions": [[0.1899, 0.0000, 0.2535], [0.3101, 0.5000, 0.7465], [0.6899, 0.5000, 0.2535], [0.8101, 0.0000, 0.7465], [0.1381, 0.0000, 0.6334], [0.3619, 0.5000, 0.3666], [0.6381, 0.5000, 0.6334], [0.8619, 0.0000, 0.3666], [0.0000, 0.5000, 0.0000], [0.5000, 0.0000, 0.0000]],
  "space_group": "C2/m",
  "e_form_raw_ev_per_atom": -2.55
}



(8)
{
  "formula": "Ho2Si3Pt4Au",
  "functional": "GGA-PBE",
  "state": "relaxed",
  "lattice_angstrom": [[4.0137, 0.0000, 0.0000], [0.0000, 4.0137, 0.0000], [0.0000, 0.0000, 11.1662]],
  "species": ["Ho", "Ho", "Si", "Si", "Si", "Pt", "Pt", "Pt", "Pt", "Au"],
  "fractional_positions": [[0.0000, 0.5000, 0.2493], [0.5000, 0.0000, 0.7507], [0.0000, 0.5000, 0.8719], [0.5000, 0.0000, 0.1281], [0.5000, 0.5000, 0.5000], [0.0000, 0.0000, 0.0000], [0.0000, 0.5000, 0.6660], [0.5000, 0.0000, 0.3340], [0.5000, 0.5000, 0.0000], [0.0000, 0.0000, 0.5000]],
  "space_group": "P-4m2",
  "e_form_raw_ev_per_atom": -0.94
}



(9)
{
  "formula": "NaHfSi2",
  "functional": "GGA-PBE",
  "state": "relaxed",
  "lattice_angstrom": [[4.6019, 0.0000, 0.0000], [0.0000, 4.6019, 0.0000], [0.0000, 0.0000, 18.1916]],
  "species": ["Na", "Na", "Na", "Na", "Hf", "Hf", "Hf", "Hf", "Si", "Si", "Si", "Si", "Si", "Si", "Si", "Si"],
  "fractional_positions": [[0.0000, 0.0000, 0.0000], [0.0000, 0.5000, 0.2500], [0.5000, 0.0000, 0.7500], [0.5000, 0.5000, 0.5000], [0.0000, 0.0000, 0.5000], [0.0000, 0.5000, 0.7500], [0.5000, 0.0000, 0.2500], [0.5000, 0.5000, 0.0000], [0.1326, 0.2500, 0.6250], [0.2500, 0.6326, 0.8750], [0.2500, 0.8674, 0.3750], [0.3674, 0.2500, 0.1250], [0.6326, 0.7500, 0.1250], [0.7500, 0.1326, 0.3750], [0.7500, 0.3674, 0.8750], [0.8674, 0.7500, 0.6250]],
  "space_group": "I-42d",
  "e_above_lowest_polymorph_mev_per_atom": 276,
  "e_form_raw_ev_per_atom": 0.45
}



(10)
{
  "formula": "RbNa2SiAg",
  "functional": "GGA-PBE",
  "state": "relaxed",
  "lattice_angstrom": [[5.7688, 0.0000, 0.0000], [0.0000, 5.7688, 0.0000], [0.0000, 0.0000, 4.8161]],
  "species": ["Rb", "Na", "Na", "Si", "Ag"],
  "fractional_positions": [[0.0000, 0.0000, 0.0000], [0.0000, 0.5000, 0.5000], [0.5000, 0.0000, 0.5000], [0.5000, 0.5000, 0.0000], [0.5000, 0.5000, 0.5000]],
  "space_group": "P4/mmm",
  "e_above_lowest_polymorph_mev_per_atom": 66,
  "e_form_raw_ev_per_atom": 0.14
}



(11)
{
  "formula": "Al2PbAu5",
  "functional": "GGA-PBE",
  "state": "relaxed",
  "lattice_angstrom": [[12.1620, 0.0000, 0.0000], [0.0000, 7.0868, 0.0000], [-1.2606, 0.0000, 3.7442]],
  "species": ["Al", "Al", "Al", "Al", "Pb", "Pb", "Au", "Au", "Au", "Au", "Au", "Au", "Au", "Au", "Au", "Au"],
  "fractional_positions": [[0.2307, 0.0000, 0.2260], [0.2693, 0.5000, 0.7740], [0.7307, 0.5000, 0.2260], [0.7693, 0.0000, 0.7740], [0.0000, 0.5000, 0.0000], [0.5000, 0.0000, 0.0000], [0.0000, 0.0000, 0.0000], [0.1388, 0.2137, 0.6361], [0.1388, 0.7863, 0.6361], [0.3612, 0.2863, 0.3639], [0.3612, 0.7137, 0.3639], [0.5000, 0.5000, 0.0000], [0.6388, 0.2863, 0.6361], [0.6388, 0.7137, 0.6361], [0.8612, 0.2137, 0.3639], [0.8612, 0.7863, 0.3639]],
  "formation_energy_mev_per_atom": -209,
  "space_group": "C2/m"
}



(12)
{
  "formula": "Mn2Fe2Re",
  "functional": "GGA-PBE",
  "state": "relaxed",
  "lattice_angstrom": [[6.6875, 0.0000, 0.0000], [0.0000, 6.6875, 0.0000], [0.0000, 0.0000, 2.5688]],
  "species": ["Mn", "Mn", "Mn", "Mn", "Fe", "Fe", "Fe", "Fe", "Re", "Re"],
  "fractional_positions": [[0.1714, 0.3286, 0.0000], [0.3286, 0.8286, 0.0000], [0.6714, 0.1714, 0.0000], [0.8286, 0.6714, 0.0000], [0.1235, 0.6235, 0.5000], [0.3765, 0.1235, 0.5000], [0.6235, 0.8765, 0.5000], [0.8765, 0.3765, 0.5000], [0.0000, 0.0000, 0.5000], [0.5000, 0.5000, 0.5000]],
  "formation_energy_mev_per_atom": 137,
  "space_group": "P4/mbm",
  "e_above_lowest_polymorph_mev_per_atom": 0
}